A geometry-optimized Ag4SBr3 structure. Source: Alexandria via LeMat-Bulk, functional PBE-GGA.

Formation energy (no corrections), eV/atom: -0.1628
D(E_F), states/eV per atom: 0.35
Space-group type: No. 44
Distance to the lowest polymorph of the same formula, meV/atom: 0

a = 6.868 Å, b = 6.868 Å, c = 6.868 Å
α = 110.34°, β = 114.07°, γ = 104.16°
Fractional positions:
Ag  0.153  0.686  0.839
Ag  0.153  0.314  0.467
Ag  0.690  0.219  0.470
Ag  0.251  0.781  0.470
S  0.897  0.500  0.397
Br  0.495  0.249  0.744
Br  0.017  0.000  0.017
Br  0.495  0.751  0.246

A geometry-optimized Nd6DyY2Th structure. Source: Alexandria via LeMat-Bulk, functional PBE-GGA.

Calculated formation energy, meV/atom: 145
D(E_F), states/eV per atom: 1.42
Space-group type: No. 15

a = 9.581 Å, b = 8.933 Å, c = 8.933 Å
α = 115.22°, β = 93.22°, γ = 93.22°
Fractional positions:
Nd  0.062  0.109  0.765
Nd  0.438  0.235  0.891
Nd  0.938  0.891  0.235
Nd  0.562  0.765  0.109
Nd  0.309  0.993  0.426
Nd  0.191  0.574  0.007
Nd  0.691  0.007  0.574
Nd  0.809  0.426  0.993
Nd  0.115  0.704  0.478
Nd  0.385  0.522  0.296
Nd  0.885  0.296  0.522
Nd  0.615  0.478  0.704
Dy  0.250  0.409  0.591
Dy  0.750  0.591  0.409
Y  0.445  0.797  0.707
Y  0.055  0.293  0.203
Y  0.555  0.203  0.293
Y  0.945  0.707  0.797
Th  0.250  0.965  0.035
Th  0.750  0.035  0.965

A geometry-optimized YMn2Al structure. Source: Alexandria via LeMat-Bulk, functional PBE-GGA.

Calculated formation energy, meV/atom: 157
D(E_F), states/eV per atom: 1.05
Space-group type: No. 12

a = 4.694 Å, b = 4.694 Å, c = 5.423 Å
α = 79.09°, β = 79.09°, γ = 37.78°
Last column: magnetic moment on the atom in μB.
Fractional positions:
Y  0.750  0.750  0.750  -0.27
Mn  0.987  0.987  0.058  2.93
Mn  0.513  0.513  0.442  2.93
Al  0.250  0.250  0.250  -0.06

A geometry-optimized IrPbCl2 structure. Source: Alexandria via LeMat-Bulk, functional PBE-GGA.

Formation energy (no corrections), eV/atom: 0.3043
D(E_F), states/eV per atom: 0.45
Space-group type: No. 69
Distance to the lowest polymorph of the same formula, meV/atom: 404

a = 5.292 Å, b = 5.292 Å, c = 4.519 Å
α = 67.75°, β = 67.75°, γ = 110.61°
Fractional positions:
Pb  0.000  0.500  0.500
Ir  0.500  0.000  0.500
Cl  0.000  0.000  0.000
Cl  0.500  0.500  0.000

A geometry-optimized NdMgAgSn2 structure. Source: Alexandria via LeMat-Bulk, functional PBE-GGA.

Calculated formation energy, meV/atom: -387
D(E_F), states/eV per atom: 0.65
Space-group type: No. 119

a = 4.438 Å, b = 4.438 Å, c = 7.123 Å
α = 108.15°, β = 108.15°, γ = 90.00°
Fractional positions:
Nd  0.000  0.000  0.000
Mg  0.250  0.750  0.500
Ag  0.750  0.250  0.500
Sn  0.610  0.610  0.221
Sn  0.390  0.390  0.779

A geometry-optimized NaAgPtF6 structure. Source: Alexandria via LeMat-Bulk, functional PBE-GGA.

Formation energy (no corrections), eV/atom: -1.6807
D(E_F), states/eV per atom: 0.00
Space-group type: No. 163

a = 5.780 Å, b = 5.780 Å, c = 9.642 Å
α = 90.00°, β = 90.00°, γ = 120.00°
Fractional positions:
Na  0.333  0.667  0.250
Na  0.667  0.333  0.750
Ag  0.000  0.000  0.000
Ag  0.000  0.000  0.500
Pt  0.667  0.333  0.250
Pt  0.333  0.667  0.750
F  0.663  0.618  0.136
F  0.955  0.337  0.136
F  0.337  0.955  0.636
F  0.045  0.663  0.864
F  0.382  0.337  0.364
F  0.955  0.618  0.364
F  0.618  0.955  0.864
F  0.663  0.045  0.364
F  0.045  0.382  0.636
F  0.382  0.045  0.136
F  0.618  0.663  0.636
F  0.337  0.382  0.864

A geometry-optimized TiPPdS2 structure. Source: Alexandria via LeMat-Bulk, functional PBE-GGA.

Formation energy (no corrections), eV/atom: 0.1060
D(E_F), states/eV per atom: 1.00
Space-group type: No. 123
Distance to the lowest polymorph of the same formula, meV/atom: 0

a = 4.605 Å, b = 4.605 Å, c = 4.767 Å
α = 90.00°, β = 90.00°, γ = 90.00°
Fractional positions:
P  0.000  0.000  0.500
S  0.000  0.500  0.000
S  0.500  0.000  0.000
Pd  0.500  0.500  0.500
Ti  0.000  0.000  0.000

A geometry-optimized LaZn2Re structure. Source: Alexandria via LeMat-Bulk, functional PBE-GGA.

Calculated formation energy, meV/atom: 393
D(E_F), states/eV per atom: 0.46
Space-group type: No. 44
Distance to the lowest polymorph of the same formula, meV/atom: 182

a = 5.608 Å, b = 5.608 Å, c = 5.608 Å
α = 146.74°, β = 125.27°, γ = 65.57°
Fractional positions:
La  0.515  0.515  0.000
Re  0.772  0.272  0.500
Zn  0.990  0.990  0.000
Zn  0.223  0.723  0.500

A geometry-optimized Pm2NdTlC structure. Source: Alexandria via LeMat-Bulk, functional PBE-GGA.

Calculated formation energy, meV/atom: -307
D(E_F), states/eV per atom: 0.39
Space-group type: No. 123

a = 5.129 Å, b = 5.090 Å, c = 5.090 Å
α = 90.00°, β = 90.00°, γ = 90.00°
Fractional positions:
Pm  0.000  0.000  0.500
Pm  0.000  0.500  0.000
Nd  0.500  0.000  0.000
Tl  0.500  0.500  0.500
C  0.000  0.000  0.000

A geometry-optimized Nd4Ag2Se7 structure. Source: Alexandria via LeMat-Bulk, functional PBE-GGA.

Formation energy (no corrections), eV/atom: -1.4170
Space-group type: No. 7

a = 12.729 Å, b = 7.479 Å, c = 7.894 Å
α = 70.21°, β = 90.00°, γ = 90.00°
Fractional positions:
Nd  0.222  0.187  0.223
Nd  0.947  0.534  0.055
Nd  0.053  0.534  0.555
Nd  0.778  0.187  0.723
Nd  0.860  0.977  0.267
Nd  0.140  0.977  0.767
Nd  0.369  0.478  0.764
Nd  0.631  0.478  0.264
Ag  0.701  0.699  0.754
Ag  0.468  0.099  0.390
Ag  0.532  0.099  0.890
Ag  0.299  0.699  0.254
Se  0.018  0.220  0.382
Se  0.165  0.553  0.901
Se  0.835  0.553  0.401
Se  0.690  0.866  0.023
Se  0.072  0.815  0.185
Se  0.668  0.043  0.466
Se  0.332  0.043  0.966
Se  0.928  0.815  0.685
Se  0.419  0.440  0.146
Se  0.248  0.339  0.529
Se  0.581  0.440  0.646
Se  0.982  0.220  0.882
Se  0.752  0.339  0.029
Se  0.310  0.866  0.523

A geometry-optimized LiAg2Br2Cl2 structure. Source: Alexandria via LeMat-Bulk, functional PBE-GGA.

Formation energy (no corrections), eV/atom: -0.6688
D(E_F), states/eV per atom: 1.08
Space-group type: No. 12

a = 3.876 Å, b = 8.379 Å, c = 6.849 Å
α = 54.90°, β = 73.56°, γ = 76.63°
Fractional positions:
Li  0.000  0.000  0.000
Ag  0.229  0.249  0.294
Ag  0.771  0.751  0.706
Br  0.596  0.197  0.612
Br  0.404  0.803  0.388
Cl  0.150  0.706  0.994
Cl  0.850  0.294  0.006

A geometry-optimized Pm2Y3Er5 structure. Source: Alexandria via LeMat-Bulk, functional PBE-GGA.

Calculated formation energy, meV/atom: 199
D(E_F), states/eV per atom: 1.84
Space-group type: No. 15

a = 9.420 Å, b = 9.449 Å, c = 11.089 Å
α = 125.50°, β = 125.44°, γ = 68.65°
Fractional positions:
Pm  0.773  0.018  0.743
Pm  0.227  0.982  0.257
Pm  0.470  0.725  0.743
Pm  0.530  0.275  0.257
Y  0.231  0.981  0.961
Y  0.769  0.019  0.039
Y  0.729  0.472  0.250
Y  0.271  0.528  0.750
Y  0.021  0.778  0.250
Y  0.979  0.222  0.750
Er  0.275  0.525  0.049
Er  0.725  0.475  0.951
Er  0.023  0.773  0.547
Er  0.524  0.274  0.548
Er  0.977  0.227  0.453
Er  0.476  0.726  0.452
Er  0.868  0.613  0.746
Er  0.132  0.387  0.254
Er  0.378  0.133  0.746
Er  0.622  0.867  0.254

A geometry-optimized BaY2Al structure. Source: Alexandria via LeMat-Bulk, functional PBE-GGA.

Calculated formation energy, meV/atom: 169
D(E_F), states/eV per atom: 1.22
Space-group type: No. 216

a = 5.652 Å, b = 5.652 Å, c = 5.652 Å
α = 60.00°, β = 60.00°, γ = 60.00°
Last column: magnetic moment on the atom in μB.
Fractional positions:
Y  0.000  0.000  0.000  0.11
Y  0.250  0.250  0.250  0.08
Ba  0.750  0.750  0.750  0.02
Al  0.500  0.500  0.500  0.00

A geometry-optimized BaNF2 structure. Source: Alexandria via LeMat-Bulk, functional PBE-GGA.

Formation energy (no corrections), eV/atom: -1.5468
D(E_F), states/eV per atom: 0.00
Space-group type: No. 225
Distance to the lowest polymorph of the same formula, meV/atom: 0

a = 4.556 Å, b = 4.556 Å, c = 4.556 Å
α = 59.96°, β = 59.96°, γ = 59.96°
Last column: magnetic moment on the atom in μB.
Fractional positions:
N  0.500  0.500  0.500  1.85
Ba  0.000  0.000  0.000  0.02
F  0.750  0.750  0.750  0.12
F  0.250  0.250  0.250  0.12

A geometry-optimized SiAg2Cl structure. Source: Alexandria via LeMat-Bulk, functional PBE-GGA.

Formation energy (no corrections), eV/atom: 0.4108
D(E_F), states/eV per atom: 0.23
Space-group type: No. 123
Distance to the lowest polymorph of the same formula, meV/atom: 392

a = 4.485 Å, b = 4.158 Å, c = 4.158 Å
α = 90.00°, β = 90.00°, γ = 90.00°
Fractional positions:
Ag  0.000  0.000  0.000
Ag  0.000  0.500  0.500
Cl  0.500  0.500  0.000
Si  0.500  0.000  0.500

A geometry-optimized HfOs2Au2 structure. Source: Alexandria via LeMat-Bulk, functional PBE-GGA.

Calculated formation energy, meV/atom: 349
D(E_F), states/eV per atom: 1.19
Space-group type: No. 127
Distance to the lowest polymorph of the same formula, meV/atom: 7

a = 6.880 Å, b = 6.880 Å, c = 3.792 Å
α = 90.00°, β = 90.00°, γ = 90.00°
Fractional positions:
Os  0.374  0.874  0.000
Os  0.874  0.626  0.000
Os  0.626  0.126  0.000
Os  0.126  0.374  0.000
Hf  0.000  0.000  0.000
Hf  0.500  0.500  0.000
Au  0.174  0.674  0.500
Au  0.674  0.826  0.500
Au  0.826  0.326  0.500
Au  0.326  0.174  0.500

A geometry-optimized HfMg2TlO structure. Source: Alexandria via LeMat-Bulk, functional PBE-GGA.

Formation energy (no corrections), eV/atom: -0.5071
D(E_F), states/eV per atom: 0.73
Space-group type: No. 123

a = 4.145 Å, b = 5.664 Å, c = 4.145 Å
α = 90.00°, β = 90.00°, γ = 90.00°
Fractional positions:
Tl  0.000  0.500  0.000
Hf  0.500  0.500  0.500
Mg  0.000  0.000  0.500
Mg  0.500  0.000  0.000
O  0.000  0.000  0.000

A geometry-optimized KHgOs2 structure. Source: Alexandria via LeMat-Bulk, functional PBE-GGA.

Calculated formation energy, meV/atom: 1358
D(E_F), states/eV per atom: 1.15
Space-group type: No. 123

a = 2.730 Å, b = 2.730 Å, c = 10.314 Å
α = 90.00°, β = 90.00°, γ = 90.00°
Fractional positions:
Hg  0.500  0.500  0.250
K  0.500  0.500  0.750
Os  0.000  0.000  0.025
Os  0.000  0.000  0.475

A geometry-optimized KInBiTe3 structure. Source: Alexandria via LeMat-Bulk, functional PBE-GGA.

Formation energy (no corrections), eV/atom: -0.4367
D(E_F), states/eV per atom: 0.35
Space-group type: No. 11

a = 5.049 Å, b = 9.207 Å, c = 10.735 Å
α = 104.01°, β = 90.00°, γ = 90.00°
Fractional positions:
K  0.250  0.205  0.230
K  0.750  0.795  0.770
In  0.250  0.105  0.606
In  0.750  0.895  0.394
Bi  0.250  0.671  0.125
Bi  0.750  0.329  0.875
Te  0.750  0.898  0.127
Te  0.250  0.102  0.873
Te  0.250  0.778  0.465
Te  0.750  0.222  0.535
Te  0.750  0.459  0.158
Te  0.250  0.541  0.842

A geometry-optimized La3Tb3Nd5 structure. Source: Alexandria via LeMat-Bulk, functional PBE-GGA.

Calculated formation energy, meV/atom: 704
D(E_F), states/eV per atom: 2.03
Space-group type: No. 189

a = 5.675 Å, b = 9.733 Å, c = 9.733 Å
α = 120.00°, β = 90.00°, γ = 90.00°
Fractional positions:
La  0.000  0.608  0.000
La  0.000  0.000  0.608
La  0.000  0.392  0.392
Tb  0.500  0.756  0.000
Tb  0.500  0.244  0.244
Tb  0.500  0.000  0.756
Nd  0.500  0.667  0.333
Nd  0.500  0.333  0.667
Nd  0.500  0.381  0.000
Nd  0.500  0.619  0.619
Nd  0.500  0.000  0.381

A geometry-optimized TbNdTh2Se4 structure. Source: Alexandria via LeMat-Bulk, functional PBE-GGA.

Formation energy (no corrections), eV/atom: -1.6580
D(E_F), states/eV per atom: 0.63
Space-group type: No. 10

a = 4.182 Å, b = 7.124 Å, c = 7.365 Å
α = 109.34°, β = 90.00°, γ = 90.00°
Fractional positions:
Tb  0.500  0.500  0.000
Nd  0.000  0.000  0.000
Th  0.500  0.000  0.500
Th  0.000  0.500  0.500
Se  0.500  0.254  0.244
Se  0.500  0.746  0.756
Se  0.000  0.258  0.759
Se  0.000  0.742  0.241

A geometry-optimized DyY3Pu2Te6 structure. Source: Alexandria via LeMat-Bulk, functional PBE-GGA.

Formation energy (no corrections), eV/atom: -1.2571
D(E_F), states/eV per atom: 1.91
Space-group type: No. 12

a = 4.368 Å, b = 8.800 Å, c = 9.816 Å
α = 103.29°, β = 102.85°, γ = 90.00°
Last column: magnetic moment on the atom in μB.
Fractional positions:
Dy  0.500  0.000  0.000  0.06
Y  0.500  0.500  0.000  0.04
Y  0.832  0.166  0.664  0.01
Y  0.168  0.834  0.336  0.01
Pu  0.834  0.667  0.668  5.58
Pu  0.166  0.333  0.332  5.58
Te  0.334  0.920  0.668  -0.02
Te  0.666  0.586  0.332  -0.04
Te  0.666  0.080  0.332  -0.02
Te  0.998  0.248  0.996  -0.01
Te  0.002  0.752  0.004  -0.01
Te  0.334  0.414  0.668  -0.04

A geometry-optimized K2CeHfSe4 structure. Source: Alexandria via LeMat-Bulk, functional PBE-GGA.

Formation energy (no corrections), eV/atom: -1.4530
D(E_F), states/eV per atom: 1.09
Space-group type: No. 10

a = 4.103 Å, b = 7.158 Å, c = 8.093 Å
α = 106.79°, β = 90.00°, γ = 90.00°
Last column: magnetic moment on the atom in μB.
Fractional positions:
K  0.500  0.000  0.500  0.00
K  0.000  0.500  0.500  0.00
Ce  0.000  0.000  0.000  0.99
Hf  0.500  0.500  0.000  0.23
Se  0.500  0.259  0.210  -0.01
Se  0.500  0.741  0.790  -0.01
Se  0.000  0.287  0.800  -0.01
Se  0.000  0.713  0.200  -0.01

Ρ / Mg/m³: 4.7; 6.9; 5.2; 8.8; 6.8; 5.2; 4.1; 9.7; 8.1; 6.3; 4.3; 7.1; 4.4; 4.7; 6.0; 17.6; 7.6; 13.4; 5.1; 5.8; 8.7; 7.8; 5.2
Volume / Å³/cell: 247.5; 687.9; 71.7; 88.4; 125.9; 278.9; 101.1; 78.0; 132.9; 707.1; 173.9; 654.1; 127.7; 66.8; 77.5; 179.5; 97.3; 76.8; 484.1; 465.6; 207.0; 357.4; 227.6